Entry 1:
The following is a GGA-PBE calculation of a relaxed structure of Ac3CoNi2, from Alexandria via LeMat-Bulk. Values from VASP.

Properties
Space group   Pnma
Size of the total moment   0.00 μB/f.u.
DFT formation energy   -0.14 eV per atom

```
&SYSTEM
  ibrav = 0, nat = 24, ntyp = 3
/
ATOMIC_SPECIES
Ac 227.00 Ac.upf
Co 58.93 Co.upf
Ni 58.69 Ni.upf
ATOMIC_POSITIONS crystal
Ac 0.066 0.250 0.127
Ac 0.118 0.750 0.559
Ac 0.210 0.250 0.812
Ac 0.290 0.750 0.312
Ac 0.382 0.250 0.059
Ac 0.434 0.750 0.627
Ac 0.566 0.250 0.373
Ac 0.618 0.750 0.941
Ac 0.710 0.250 0.688
Ac 0.790 0.750 0.188
Ac 0.882 0.250 0.441
Ac 0.934 0.750 0.873
Co 0.124 0.250 0.373
Co 0.376 0.750 0.873
Co 0.624 0.250 0.127
Co 0.876 0.750 0.627
Ni 0.035 0.750 0.315
Ni 0.194 0.750 0.988
Ni 0.306 0.250 0.488
Ni 0.465 0.250 0.815
Ni 0.535 0.750 0.185
Ni 0.694 0.750 0.512
Ni 0.806 0.250 0.012
Ni 0.965 0.250 0.685
CELL_PARAMETERS angstrom
12.277 0.000 0.000
0.000 4.088 0.000
0.000 0.000 12.368
```

Entry 2:
The following is a GGA-PBE calculation of a relaxed structure of Ca2YAg, from Alexandria via LeMat-Bulk. Values from VASP.

Properties
E above lowest polymorph   140.5 meV/atom
Space group   R-3m
Size of the total moment   0.37 μB/f.u.
DFT formation energy   0.02 eV per atom

```
&SYSTEM
  ibrav = 0, nat = 4, ntyp = 3
/
ATOMIC_SPECIES
Ca 40.08 Ca.upf
Y 88.91 Y.upf
Ag 107.87 Ag.upf
ATOMIC_POSITIONS crystal
Ca 0.237 0.237 0.237
Ca 0.763 0.763 0.763
Y 0.000 0.000 0.000
Ag 0.500 0.500 0.500
CELL_PARAMETERS angstrom
1.876 1.083 10.670
-1.876 1.083 10.670
0.000 -2.167 10.670
```

Entry 3:
The following is a GGA-PBE calculation of a relaxed structure of TaTl3Ni, from Alexandria via LeMat-Bulk. Values from VASP.

Properties
E above lowest polymorph   275.7 meV/atom
Space group   Pm-3m
Size of the total moment   0.00 μB/f.u.
DFT formation energy   1.32 eV per atom

```
&SYSTEM
  ibrav = 0, nat = 5, ntyp = 3
/
ATOMIC_SPECIES
Ta 180.95 Ta.upf
Tl 204.38 Tl.upf
Ni 58.69 Ni.upf
ATOMIC_POSITIONS crystal
Ta 0.000 0.000 0.000
Tl 0.000 0.000 0.500
Tl 0.000 0.500 0.000
Tl 0.500 0.000 0.000
Ni 0.500 0.500 0.500
CELL_PARAMETERS angstrom
5.459 0.000 0.000
0.000 5.459 0.000
0.000 0.000 5.459
```

Entry 4:
The following is a GGA-PBE calculation of a relaxed structure of ScP, from Alexandria via LeMat-Bulk. Values from VASP.

Properties
Space group   R-3m
Size of the total moment   0.00 μB/f.u.
DFT formation energy   -0.46 eV per atom

```
&SYSTEM
  ibrav = 0, nat = 4, ntyp = 2
/
ATOMIC_SPECIES
Sc 44.96 Sc.upf
P 30.97 P.upf
ATOMIC_POSITIONS crystal
Sc 0.087 0.087 0.087
Sc 0.913 0.913 0.913
P 0.334 0.334 0.334
P 0.666 0.666 0.666
CELL_PARAMETERS angstrom
1.992 1.150 5.889
-1.992 1.150 5.889
0.000 -2.300 5.889
```